Entry 1:
Na4Hf3CoSe8 | PBE | optimized geometry

Structure (POSCAR):
```
Na4Hf3CoSe8
1.0
3.836 2.215 7.047
-3.836 2.215 7.047
0.000 -4.429 7.047
Na Hf Co Se
4 3 1 8
direct
0.000 0.000 0.000 Na
0.000 0.500 0.500 Na
0.500 0.000 0.500 Na
0.500 0.500 0.000 Na
0.000 0.000 0.500 Hf
0.000 0.500 0.000 Hf
0.500 0.000 0.000 Hf
0.500 0.500 0.500 Co
0.241 0.241 0.241 Se
0.243 0.736 0.736 Se
0.264 0.264 0.757 Se
0.264 0.757 0.264 Se
0.736 0.243 0.736 Se
0.736 0.736 0.243 Se
0.757 0.264 0.264 Se
0.759 0.759 0.759 Se
```

mass density: 6.1 Mg/m³
total magnetization: 2.30 μB/cell
uncorrected formation energy: -1.1092 eV per atom
space group: R-3m (166)
D(E_F): 7.08 states/eV per cell


Entry 2:
Na2HfCoTe | PBE | optimized geometry

Structure (POSCAR):
```
Na2HfCoTe
1.0
5.136 0.000 0.000
0.000 5.136 0.000
0.000 0.000 4.661
Na Hf Co Te
2 1 1 1
direct
0.000 0.500 0.000 Na
0.500 0.000 0.000 Na
0.000 0.000 0.500 Hf
0.000 0.000 0.000 Co
0.500 0.500 0.500 Te
```

mass density: 5.6 Mg/m³
total magnetization: 0.00 μB/cell
uncorrected formation energy: 0.4004 eV per atom
space group: P4/mmm (123)
D(E_F): 2.60 states/eV per cell


Entry 3:
NaHf2ZnCo | PBE | optimized geometry

Structure (POSCAR):
```
NaHf2ZnCo
1.0
4.949 0.000 0.000
0.000 4.949 0.000
0.000 0.000 4.172
Na Hf Zn Co
1 2 1 1
direct
0.000 0.000 0.000 Na
0.000 0.500 0.000 Hf
0.500 0.000 0.000 Hf
0.500 0.500 0.500 Zn
0.000 0.000 0.500 Co
```

mass density: 8.2 Mg/m³
total magnetization: 0.00 μB/cell
formation energy: 1.642 eV/atom
space group: P4/mmm (123)
D(E_F): 6.47 states/eV per cell


Entry 4:
Hf2Nb2Co15 | PBE | optimized geometry

Structure (POSCAR):
```
Hf2Nb2Co15
1.0
4.140 2.390 4.067
-4.140 2.390 4.067
0.000 -4.781 4.067
Hf Nb Co
2 2 15
direct
0.146 0.146 0.146 Hf
0.854 0.854 0.854 Hf
0.394 0.394 0.394 Nb
0.606 0.606 0.606 Nb
0.000 0.500 0.500 Co
0.146 0.146 0.663 Co
0.146 0.663 0.146 Co
0.197 0.500 0.803 Co
0.197 0.803 0.500 Co
0.337 0.854 0.854 Co
0.500 0.000 0.500 Co
0.500 0.197 0.803 Co
0.500 0.500 0.000 Co
0.500 0.803 0.197 Co
0.663 0.146 0.146 Co
0.803 0.197 0.500 Co
0.803 0.500 0.197 Co
0.854 0.337 0.854 Co
0.854 0.854 0.337 Co
```

mass density: 9.8 Mg/m³
total magnetization: 18.06 μB/cell
formation energy: -0.102 eV/atom
space group: R-3m (166)
D(E_F): 24.21 states/eV per cell


Entry 5:
HfNb3Co | PBE | optimized geometry

Structure (POSCAR):
```
HfNb3Co
1.0
4.635 0.000 0.000
0.000 4.635 0.000
0.000 0.000 4.635
Hf Nb Co
1 3 1
direct
0.000 0.000 0.000 Hf
0.000 0.500 0.500 Nb
0.500 0.000 0.500 Nb
0.500 0.500 0.000 Nb
0.500 0.500 0.500 Co
```

mass density: 8.6 Mg/m³
total magnetization: 0.00 μB/cell
formation energy: 0.557 eV/atom
space group: Pm-3m (221)
ΔE to the lowest computed polymorph: 0 meV/atom
D(E_F): 9.66 states/eV per cell


Entry 6:
HfNb3Co | PBE | optimized geometry

Structure (POSCAR):
```
HfNb3Co
1.0
4.852 0.000 0.000
0.000 4.852 0.000
0.000 0.000 4.852
Hf Nb Co
1 3 1
direct
0.000 0.000 0.000 Hf
0.000 0.000 0.500 Nb
0.000 0.500 0.000 Nb
0.500 0.000 0.000 Nb
0.500 0.500 0.500 Co
```

mass density: 7.5 Mg/m³
total magnetization: 0.00 μB/cell
formation energy: 2.079 eV/atom
space group: Pm-3m (221)
ΔE to the lowest computed polymorph: 1522 meV/atom
D(E_F): 12.03 states/eV per cell


Entry 7:
Hf2NbCo2 | PBE | optimized geometry

Structure (POSCAR):
```
Hf2NbCo2
1.0
7.507 0.000 0.000
0.000 7.507 0.000
0.000 0.000 2.912
Hf Nb Co
4 2 4
direct
0.153 0.347 0.000 Hf
0.347 0.847 0.000 Hf
0.653 0.153 0.000 Hf
0.847 0.653 0.000 Hf
0.000 0.000 0.000 Nb
0.500 0.500 0.000 Nb
0.145 0.645 0.500 Co
0.355 0.145 0.500 Co
0.645 0.855 0.500 Co
0.855 0.355 0.500 Co
```

mass density: 11.5 Mg/m³
total magnetization: 0.01 μB/cell
formation energy: -0.016 eV/atom
space group: P4/mbm (127)
ΔE to the lowest computed polymorph: 260 meV/atom
D(E_F): 12.61 states/eV per cell


Entry 8:
Hf3NbCo | PBE | optimized geometry

Structure (POSCAR):
```
Hf3NbCo
1.0
4.983 0.000 0.000
0.000 4.983 0.000
0.000 0.000 4.983
Hf Nb Co
3 1 1
direct
0.000 0.000 0.500 Hf
0.000 0.500 0.000 Hf
0.500 0.000 0.000 Hf
0.000 0.000 0.000 Nb
0.500 0.500 0.500 Co
```

mass density: 9.2 Mg/m³
total magnetization: 0.00 μB/cell
formation energy: 1.452 eV/atom
space group: Pm-3m (221)
ΔE to the lowest computed polymorph: 1076 meV/atom
D(E_F): 7.96 states/eV per cell